(1)
Here is a relaxed structure of BaFe2CoOs from Alexandria via LeMat-Bulk. Energies are from PBE.

a b c (Å): 4.5621 4.5621 4.5730
angles (deg): 90.00 90.00 90.00
Closest atoms and distances in Å follow each position.
Space group P4/mmm (No. 123)
Inequivalent atoms, fractional coordinates:
Ba1 0.0000 0.0000 0.0000 x1  4 Fe 2.28, 2 Co 2.29
Fe1 0.0000 0.5000 0.0000 x2  2 Ba 2.28
Co1 0.0000 0.0000 0.5000 x1  2 Ba 2.29
Os1 0.5000 0.5000 0.5000 x1  4 Co 3.23, 8 Fe 3.23

## Properties
Energy of formation from the pure elements = 15.62 eV/f.u.
DFT total energy = -4.3134 eV/atom

(2)
Here is a relaxed structure of BaFeCo2Pt from Alexandria via LeMat-Bulk. Energies are from PBE.

a b c (Å): 4.7588 4.7588 5.3366
angles (deg): 90.00 90.00 90.00
Closest atoms and distances in Å follow each position.
Space group P4/mmm (No. 123)
Inequivalent atoms, fractional coordinates:
Ba1 0.0000 0.0000 0.0000 x1  4 Co 2.38
Fe1 0.5000 0.5000 0.5000 x1  4 Pt 3.36, 8 Co 3.58
Co1 0.0000 0.5000 0.0000 x2  2 Ba 2.38
Pt1 0.0000 0.0000 0.5000 x1  2 Ba 2.67

## Properties
Energy of formation from the pure elements = 13.20 eV/f.u.
DFT total energy = -3.4878 eV/atom

(3)
Here is a relaxed structure of Ba2FeCoSe from Alexandria via LeMat-Bulk. Energies are from PBE.

a b c (Å): 5.9341 5.9341 4.3090
angles (deg): 90.00 90.00 90.00
Closest atoms and distances in Å follow each position.
Space group P4/mmm (No. 123)
Inequivalent atoms, fractional coordinates:
Ba1 0.0000 0.5000 0.0000 x2  2 Fe 2.97
Fe1 0.0000 0.0000 0.0000 x1  2 Co 2.15
Co1 0.0000 0.0000 0.5000 x1  2 Fe 2.15
Se1 0.5000 0.5000 0.5000 x1  8 Ba 3.67

## Properties
DFT total energy = -4.6257 eV/atom

(4)
Here is a relaxed structure of BaGa2Co2 from Alexandria via LeMat-Bulk. Energies are from PBE.

a b c (Å): 4.3087 4.3087 10.2350
angles (deg): 90.00 90.00 90.00
Closest atoms and distances in Å follow each position.
Space group I4/mmm (No. 139)
Inequivalent atoms, fractional coordinates:
Ba1 0.0000 0.0000 0.0000 x2  8 Co 3.27, 8 Ga 3.34
Ga1 0.0000 0.5000 0.2500 x4  4 Co 2.55
Co1 0.0000 0.0000 0.3827 x4  1 Co 2.40, 4 Ga 2.55

## Properties
Energy of formation from the pure elements = -0.05 eV/f.u.
DFT total energy = -4.4486 eV/atom

(5)
Here is a relaxed structure of Ba3GaCo from Alexandria via LeMat-Bulk. Energies are from PBE.

a b c (Å): 5.8010 5.8010 5.8010
angles (deg): 90.00 90.00 90.00
Closest atoms and distances in Å follow each position.
Space group Pm-3m (No. 221)
Inequivalent atoms, fractional coordinates:
Ba1 0.0000 0.0000 0.5000 x3  2 Co 2.90
Ga1 0.5000 0.5000 0.5000 x1  12 Ba 4.10
Co1 0.0000 0.0000 0.0000 x1  6 Ba 2.90

## Properties
Energy of formation from the pure elements = 1.15 eV/f.u.
DFT total energy = -2.9504 eV/atom
E above lowest polymorph = 0.00 eV/f.u.

(6)
Here is a relaxed structure of BaGaCo3 from Alexandria via LeMat-Bulk. Energies are from PBE.

a b c (Å): 4.6577 4.6577 4.6577
angles (deg): 90.00 90.00 90.00
Closest atoms and distances in Å follow each position.
Space group Pm-3m (No. 221)
Inequivalent atoms, fractional coordinates:
Ba1 0.0000 0.0000 0.0000 x1  12 Co 3.29
Ga1 0.5000 0.5000 0.5000 x1  6 Co 2.33
Co1 0.0000 0.5000 0.5000 x3  2 Ga 2.33

## Properties
Energy of formation from the pure elements = 3.32 eV/f.u.
DFT total energy = -4.5885 eV/atom
E above lowest polymorph = 0.00 eV/f.u.

(7)
Here is a relaxed structure of BaGa2Co2 from Alexandria via LeMat-Bulk. Energies are from PBE.

a b c (Å): 7.6158 7.6158 2.9582
angles (deg): 90.00 90.00 90.00
Closest atoms and distances in Å follow each position.
Space group P4/mbm (No. 127)
Inequivalent atoms, fractional coordinates:
Ba1 0.0000 0.0000 0.0000 x2  4 Co 2.93, 2 Ba 2.96
Ga1 0.1312 0.3688 0.5000 x4  6 Co 2.56-2.84, 1 Ga 2.83
Co1 0.1435 0.6435 0.0000 x4  6 Ga 2.56-2.84

## Properties
Energy of formation from the pure elements = 0.60 eV/f.u.
DFT total energy = -4.3186 eV/atom

(8)
Here is a relaxed structure of BaGa3Co from Alexandria via LeMat-Bulk. Energies are from PBE.

a b c (Å): 4.7258 4.7258 4.7258
angles (deg): 90.00 90.00 90.00
Closest atoms and distances in Å follow each position.
Space group Pm-3m (No. 221)
Inequivalent atoms, fractional coordinates:
Ba1 0.0000 0.0000 0.0000 x1  12 Ga 3.34
Ga1 0.0000 0.5000 0.5000 x3  2 Co 2.36
Co1 0.5000 0.5000 0.5000 x1  6 Ga 2.36

## Properties
Energy of formation from the pure elements = -1.84 eV/f.u.
DFT total energy = -3.9889 eV/atom

(9)
Here is a relaxed structure of BaGaCo2 from Alexandria via LeMat-Bulk. Energies are from PBE.

a b c (Å): 4.7708 4.7708 16.5492
angles (deg): 90.00 90.00 90.00
Closest atoms and distances in Å follow each position.
Space group I4_1/amd (No. 141, origin choice 2)
Inequivalent atoms, fractional coordinates:
Ba1 0.0000 0.2500 0.3750 x4  4 Ga 3.37, 8 Co 3.38
Ga1 0.0000 0.2500 0.8750 x4  4 Co 2.39
Co1 0.0000 0.0000 0.0000 x8  2 Co 2.39, 2 Ga 2.39

## Properties
Energy of formation from the pure elements = 0.85 eV/f.u.
DFT total energy = -4.5775 eV/atom

(10)
Here is a relaxed structure of BaGaCo3 from Alexandria via LeMat-Bulk. Energies are from PBE.

a b c (Å): 4.8703 4.8703 4.8703
angles (deg): 90.00 90.00 90.00
Closest atoms and distances in Å follow each position.
Space group Pm-3m (No. 221)
Inequivalent atoms, fractional coordinates:
Ba1 0.0000 0.0000 0.0000 x1  6 Co 2.44
Ga1 0.5000 0.5000 0.5000 x1  12 Co 3.44
Co1 0.0000 0.0000 0.5000 x3  2 Ba 2.44

## Properties
Energy of formation from the pure elements = 10.64 eV/f.u.
DFT total energy = -3.1263 eV/atom
E above lowest polymorph = 7.31 eV/f.u.

(11)
Here is a relaxed structure of Ba2Ga6Co from Alexandria via LeMat-Bulk. Energies are from PBE.

a b c (Å): 6.7943 6.7943 5.4350
angles (deg): 90.00 90.00 120.00
Closest atoms and distances in Å follow each position.
Space group P-3m1 (No. 164)
Inequivalent atoms, fractional coordinates:
Ba1 0.3333 0.6667 0.2099 x2  12 Ga 3.44-3.55
Ga1 0.1472 0.2944 0.6969 x6  1 Co 2.39
Co1 0.0000 0.0000 0.0000 x1  6 Ga 2.39

## Properties
Energy of formation from the pure elements = -2.89 eV/f.u.
DFT total energy = -3.5561 eV/atom

(12)
Here is a relaxed structure of BaGa4Co from Alexandria via LeMat-Bulk. Energies are from PBE.

a b c (Å): 4.6524 4.6524 6.8491
angles (deg): 90.00 90.00 90.00
Closest atoms and distances in Å follow each position.
Space group P4/mmm (No. 123)
Inequivalent atoms, fractional coordinates:
Ba1 0.0000 0.0000 0.0000 x1  8 Ga 3.50
Ga1 0.0000 0.5000 0.5000 x2  2 Co 2.33
Ga2 0.5000 0.5000 0.1725 x2  1 Co 2.24, 1 Ga 2.36
Co1 0.5000 0.5000 0.5000 x1  6 Ga 2.24-2.33

## Properties
Energy of formation from the pure elements = -1.15 eV/f.u.
DFT total energy = -3.7148 eV/atom

(13)
Here is a relaxed structure of BaGa2CoGe from Alexandria via LeMat-Bulk. Energies are from PBE.

a b c (Å): 4.7521 4.7521 4.7434
angles (deg): 90.00 90.00 90.00
Closest atoms and distances in Å follow each position.
Space group P4/mmm (No. 123)
Inequivalent atoms, fractional coordinates:
Ba1 0.0000 0.0000 0.0000 x1  8 Ga 3.36, 4 Ge 3.36
Ga1 0.0000 0.5000 0.5000 x2  2 Co 2.38
Co1 0.5000 0.5000 0.5000 x1  2 Ge 2.37, 4 Ga 2.38
Ge1 0.5000 0.5000 0.0000 x1  2 Co 2.37

## Properties
Energy of formation from the pure elements = -1.36 eV/f.u.
DFT total energy = -4.2114 eV/atom

(14)
Here is a relaxed structure of BaGaCo2H8 from Alexandria via LeMat-Bulk. Energies are from PBE.

a b c (Å): 4.5433 4.5433 6.1093
angles (deg): 90.00 90.00 120.00
Closest atoms and distances in Å follow each position.
Space group P-3m1 (No. 164)
Inequivalent atoms, fractional coordinates:
Ba1 0.0000 0.0000 0.0000 x1  18 H 2.82-3.14, 2 Ga 3.05
Ga1 0.0000 0.0000 0.5000 x1  12 H 2.45, 6 Co 2.66
Co1 0.3333 0.6667 0.5675 x2  7 H 1.60-1.69
H1 0.0621 0.5311 0.3532 x6  2 Co 1.63-1.69
H2 0.3333 0.6667 0.8300 x2  1 Co 1.60

## Properties
DFT total energy = -3.8975 eV/atom

(15)
Here is a relaxed structure of BaGa2CoHg from Alexandria via LeMat-Bulk. Energies are from PBE.

a b c (Å): 4.7260 4.7260 5.1784
angles (deg): 90.00 90.00 90.00
Closest atoms and distances in Å follow each position.
Space group P4/mmm (No. 123)
Inequivalent atoms, fractional coordinates:
Ba1 0.0000 0.0000 0.0000 x1  4 Hg 3.34, 8 Ga 3.51
Ga1 0.0000 0.5000 0.5000 x2  2 Co 2.36
Co1 0.5000 0.5000 0.5000 x1  4 Ga 2.36, 2 Hg 2.59
Hg1 0.5000 0.5000 0.0000 x1  2 Co 2.59

## Properties
Energy of formation from the pure elements = -1.50 eV/f.u.
DFT total energy = -3.3772 eV/atom

(16)
Here is a relaxed structure of Ba2GaCoI from Alexandria via LeMat-Bulk. Energies are from PBE.

a b c (Å): 6.0032 6.0032 4.6135
angles (deg): 90.00 90.00 90.00
Closest atoms and distances in Å follow each position.
Space group P4/mmm (No. 123)
Inequivalent atoms, fractional coordinates:
Ba1 0.0000 0.5000 0.0000 x2  2 Co 3.00
Ga1 0.0000 0.0000 0.5000 x1  2 Co 2.31
Co1 0.0000 0.0000 0.0000 x1  2 Ga 2.31
I1 0.5000 0.5000 0.5000 x1  8 Ba 3.79

## Properties
DFT total energy = -3.6251 eV/atom

(17)
Here is a relaxed structure of BaIn2GaCo from Alexandria via LeMat-Bulk. Energies are from PBE.

a b c (Å): 5.0566 5.0566 4.7973
angles (deg): 90.00 90.00 90.00
Closest atoms and distances in Å follow each position.
Space group P4/mmm (No. 123)
Inequivalent atoms, fractional coordinates:
Ba1 0.0000 0.0000 0.0000 x1  8 In 3.49, 4 Ga 3.58
In1 0.0000 0.5000 0.5000 x2  2 Co 2.53
Ga1 0.5000 0.5000 0.0000 x1  2 Co 2.40
Co1 0.5000 0.5000 0.5000 x1  2 Ga 2.40, 4 In 2.53

## Properties
Energy of formation from the pure elements = -1.30 eV/f.u.
DFT total energy = -3.7663 eV/atom

(18)
Here is a relaxed structure of BaLaGa2Co from Alexandria via LeMat-Bulk. Energies are from PBE.

a b c (Å): 4.9842 4.9842 4.9879
angles (deg): 90.00 90.00 90.00
Closest atoms and distances in Å follow each position.
Space group P4/mmm (No. 123)
Inequivalent atoms, fractional coordinates:
Ba1 0.0000 0.0000 0.0000 x1  4 La 3.52, 8 Ga 3.53
La1 0.5000 0.5000 0.0000 x1  2 Co 2.49
Ga1 0.0000 0.5000 0.5000 x2  2 Co 2.49
Co1 0.5000 0.5000 0.5000 x1  4 Ga 2.49, 2 La 2.49

## Properties
Energy of formation from the pure elements = -1.38 eV/f.u.
DFT total energy = -4.2789 eV/atom

(19)
Here is a relaxed structure of BaLa2GaCo from Alexandria via LeMat-Bulk. Energies are from PBE.

a b c (Å): 5.4204 5.4204 4.9973
angles (deg): 90.00 90.00 90.00
Closest atoms and distances in Å follow each position.
Space group P4/mmm (No. 123)
Inequivalent atoms, fractional coordinates:
Ba1 0.0000 0.0000 0.0000 x1  8 La 3.69, 4 Ga 3.83
La1 0.0000 0.5000 0.5000 x2  2 Co 2.71
Ga1 0.5000 0.5000 0.0000 x1  2 Co 2.50
Co1 0.5000 0.5000 0.5000 x1  2 Ga 2.50, 4 La 2.71

## Properties
Energy of formation from the pure elements = -0.61 eV/f.u.
DFT total energy = -4.5049 eV/atom

(20)
Here is a relaxed structure of Ba2MgGaCo from Alexandria via LeMat-Bulk. Energies are from PBE.

a b c (Å): 6.4189 6.4189 4.9830
angles (deg): 90.00 90.00 90.00
Closest atoms and distances in Å follow each position.
Space group P4/mmm (No. 123)
Inequivalent atoms, fractional coordinates:
Ba1 0.0000 0.5000 0.0000 x2  2 Ga 3.21
Mg1 0.0000 0.0000 0.5000 x1  2 Ga 2.49
Ga1 0.0000 0.0000 0.0000 x1  2 Mg 2.49
Co1 0.5000 0.5000 0.5000 x1  8 Ba 4.06, 4 Mg 4.54

## Properties
Energy of formation from the pure elements = 2.53 eV/f.u.
DFT total energy = -2.6092 eV/atom

(21)
Here is a relaxed structure of BaNb2GaCo from Alexandria via LeMat-Bulk. Energies are from PBE.

a b c (Å): 4.6605 4.6605 5.8925
angles (deg): 90.00 90.00 90.00
Closest atoms and distances in Å follow each position.
Space group P4/mmm (No. 123)
Inequivalent atoms, fractional coordinates:
Ba1 0.0000 0.0000 0.0000 x1  2 Co 2.95, 4 Ga 3.30
Nb1 0.0000 0.5000 0.5000 x2  2 Co 2.33
Ga1 0.5000 0.5000 0.0000 x1  4 Ba 3.30
Co1 0.0000 0.0000 0.5000 x1  4 Nb 2.33

## Properties
Energy of formation from the pure elements = 4.41 eV/f.u.
DFT total energy = -5.5568 eV/atom